No. 1
# TbBiNO

An optimized crystal structure of TbBiNO (PBE, OQMD).

Results
The energy above the most stable polymorph in this dataset is 164 meV/atom. The value obtained for the total energy is -6.63 eV per atom.

a = 4.5127 Å, b = 4.5127 Å, c = 7.9643 Å
α = 90.00°, β = 90.00°, γ = 90.00°
Last column: nearest neighbours and their distance in Å.
Positions (direct):
N  0.2500  0.2500  0.6320  1 Tb 2.21
N  0.7500  0.7500  0.3680  1 Tb 2.21
O  0.2500  0.7500  0.0000  4 Tb 2.37
Tb  0.2500  0.2500  0.9095  1 N 2.21, 4 O 2.37
Bi  0.2500  0.7500  0.5000  4 N 2.49
O  0.7500  0.2500  0.0000  4 Tb 2.37
Tb  0.7500  0.7500  0.0905  1 N 2.21, 4 O 2.37
Bi  0.7500  0.2500  0.5000  4 N 2.49


No. 2
# GdHoSi4Os2

An optimized crystal structure of GdHoSi4Os2 (PBE, OQMD).

Results
The value obtained for the total energy is -7.41 eV per atom.

a = 4.4248 Å, b = 4.0939 Å, c = 8.1457 Å
α = 90.00°, β = 101.85°, γ = 90.00°
Last column: nearest neighbours and their distance in Å.
Positions (direct):
Si  0.0369  0.0000  0.5892  1 Os 2.36, 2 Si 2.49
Si  0.9633  0.5000  0.4107  1 Os 2.35, 2 Si 2.49
Ho  0.4087  0.0000  0.2960  8 Si 2.90-3.18, 2 Os 3.21
Gd  0.5877  0.5000  0.7011  9 Si 2.92-3.25, 2 Os 3.23
Os  0.8858  0.5000  0.1165  5 Si 2.35-2.41
Si  0.6644  0.0000  0.9951  4 Os 2.35-2.41, 2 Si 2.52
Os  0.1162  0.0000  0.8849  5 Si 2.35-2.41
Si  0.3370  0.5000  0.0064  4 Os 2.35-2.41, 2 Si 2.52